Density functional theory data (PBE) for a geometry-optimized GaCo2Bi structure.

a = 4.2413 Å, b = 4.2413 Å, c = 8.9083 Å
α = 76.23°, β = 76.23°, γ = 90.00°
Each line ends with the local moment (μB).
Positions (direct):
Co (0.4999, 0.1250, 0.2500)  1.29
Co (0.2501, 0.6250, 0.2500)  1.28
Co (0.8750, 0.7499, 0.7500)  1.54
Co (0.3750, 0.5001, 0.7500)  1.57
Ga (0.5000, 0.5000, 0.0000)  -0.02
Ga (0.2500, 0.7500, 0.5000)  -0.02
Bi (0.7500, 0.2500, 0.5000)  -0.03
Bi (0.0000, 0.0000, 0.0000)  -0.03



Density functional theory data (PBE) for a geometry-optimized GaCo3Bi structure.

a = 4.8410 Å, b = 4.8410 Å, c = 4.8410 Å
α = 90.00°, β = 90.00°, γ = 90.00°
Each line ends with the local moment (μB).
Positions (direct):
Ga (0.5000, 0.5000, 0.5000)  0.02
Bi (0.0000, 0.0000, 0.0000)  -0.01
Co (0.5000, 0.0000, 0.0000)  1.83
Co (0.0000, 0.0000, 0.5000)  1.59
Co (0.0000, 0.5000, 0.0000)  1.64

Summary:
**Energy relative to the lowest polymorph listed for this composition**: 675 meV/atom



Density functional theory data (PBE) for a geometry-optimized GaCoBi structure.

a = 3.3339 Å, b = 3.3339 Å, c = 11.7546 Å
α = 105.26°, β = 105.26°, γ = 88.75°
Each line ends with the local moment (μB).
Positions (direct):
Co (0.2512, 0.2512, 0.9109)  0.54
Co (0.7488, 0.7488, 0.0891)  0.54
Bi (0.9912, 0.9912, 0.6586)  -0.01
Bi (0.0088, 0.0088, 0.3414)  -0.01
Ga (0.7151, 0.7151, 0.8723)  -0.03
Ga (0.2849, 0.2849, 0.1277)  -0.03



Density functional theory data (PBE) for a geometry-optimized GaCo2Bi structure.

a = 4.4320 Å, b = 4.4320 Å, c = 4.4320 Å
α = 60.00°, β = 60.00°, γ = 60.00°
Each line ends with the local moment (μB).
Positions (direct):
Co (0.2500, 0.2500, 0.2500)  0.89
Co (0.7500, 0.7500, 0.7500)  0.89
Ga (0.0000, 0.0000, 0.0000)  -0.03
Bi (0.5000, 0.5000, 0.5000)  -0.03



| no. | energy of formation from the pure elements (kJ/mol of atoms) | mass density (g cm⁻³) |
| --- | --- | --- |
| 1 | 43.31 | 8.728 |
| 2 | 137.44 | 6.667 |
| 3 | 5.98 | 9.233 |
| 4 | 28.36 | 10.698 |